[1]
Density functional theory data (GGA-PBE) for PrSm2I6 after structural relaxation.

Cell: 4.2316 9.0098 11.6632 Å, 115.88 90.00 103.58°
Sites, in units of the cell vectors:
1 Pr 0.0000 0.0000 0.5000
2 Sm 0.6508 0.3016 0.8066
3 Sm 0.3492 0.6985 0.1934
4 I 0.3017 0.6033 0.8903
5 I 0.6983 0.3967 0.1097
6 I 0.9856 0.9712 0.2114
7 I 0.6499 0.2998 0.5428
8 I 0.0144 0.0288 0.7886
9 I 0.3501 0.7002 0.4572

## Properties
Its space group is C2/m (12).

=====

[2]
Density functional theory data (GGA-PBE) for BaRhAu2 after structural relaxation.

Cell: 3.5860 3.5860 7.1387 Å, 90.00 90.00 90.00°
Sites, in units of the cell vectors:
1 Ba 0.5000 0.5000 0.0000
2 Rh 0.5000 0.5000 0.5000
3 Au 0.0000 0.0000 0.6913
4 Au 0.0000 0.0000 0.3087

## Properties
Its space group is P4/mmm (123).

=====

The following raw total energy values (in Ry/atom) correspond, in order, to the records above: -0.2867; -0.2958.